VASP calculation (PBE) on a relaxed structure of Rb2CdCuCl6.

Cell lengths 7.0009, 7.0009, 7.0009 Å; angles 114.95, 114.95, 99.00 degrees
Last column: nearest neighbours and their distance in Å.
Element x y z (fractional)
Rb  0.2500  0.7500  0.5000  12 Cl 3.50-3.77
Rb  0.7500  0.2500  0.5000  12 Cl 3.50-3.77
Cd  0.0000  0.0000  0.0000  6 Cl 2.42-2.67
Cu  0.5000  0.5000  0.0000  2 Cl 2.12
Cl  0.2511  0.2511  0.5022  1 Cu 2.65, 1 Cd 2.67
Cl  0.2511  0.7489  0.0000  1 Cu 2.65, 1 Cd 2.67
Cl  0.2666  0.2666  0.0000  1 Cu 2.12
Cl  0.7334  0.7334  0.0000  1 Cu 2.12
Cl  0.7489  0.2511  0.0000  1 Cu 2.65, 1 Cd 2.67
Cl  0.7489  0.7489  0.4978  1 Cu 2.65, 1 Cd 2.67

The value obtained for the theoretical density is 3.61 g/cm3. The density of states at the Fermi level is 3.84 states/eV/f.u. As for the space-group type: I4/mmm, No. 139. The raw formation energy comes out at -11.870 eV per formula unit.